Entry 1:
Sm3Er3Ga4 after structural relaxation, computed with PBE.

As for the total energy: -45.162 eV per cell. The value obtained for the volume is 258 Å³/cell. The calculation puts the density at 7.916 Mg/m³. Its formation energy is -0.52 eV per atom.

a = 4.4082 Å, b = 7.6561 Å, c = 7.6561 Å
α = 89.40°, β = 90.00°, γ = 90.00°
Closest atoms and distances in Å follow each position.
Fractional positions:
1 Sm 0.5000 0.8274 0.1726  6 Ga 3.15-3.18
2 Sm 0.5000 0.3243 0.3259  6 Ga 3.15-3.20
3 Sm 0.5000 0.6741 0.6757  6 Ga 3.15-3.20
4 Er 0.0000 0.4988 0.0000  4 Ga 3.02-3.08
5 Er 0.0000 0.0000 0.5012  4 Ga 3.02-3.08
6 Er 0.5000 0.1757 0.8243  6 Ga 3.08-3.16
7 Ga 0.0000 0.6189 0.3811  1 Ga 2.62
8 Ga 0.0000 0.3760 0.6240  1 Ga 2.62
9 Ga 0.0000 0.8836 0.8788  1 Ga 2.59
10 Ga 0.0000 0.1212 0.1164  1 Ga 2.59

Entry 2:
LiSnSeO5 after structural relaxation, computed with PBE.

As for the total energy: -86.441 eV per cell. The value obtained for the volume is 214 Å³/cell. The calculation puts the density at 4.408 Mg/m³. As for the raw formation energy: -1129 meV per atom.

a = 5.8202 Å, b = 5.8202 Å, c = 7.6017 Å
α = 105.89°, β = 105.89°, γ = 109.14°
Closest atoms and distances in Å follow each position.
Fractional positions:
1 Li 0.2728 0.7272 0.2500  3 O 1.94-2.10
2 Li 0.7272 0.2728 0.7500  3 O 1.94-2.10
3 Sn 0.0000 0.0000 0.5000  6 O 2.01-2.16
4 Sn 0.0000 0.0000 0.0000  6 O 2.01-2.16
5 Se 0.7119 0.2881 0.2500  4 O 1.72-1.92
6 Se 0.2881 0.7119 0.7500  4 O 1.72-1.92
7 O 0.0688 0.9312 0.2500  1 Li 1.94, 2 Sn 2.01
8 O 0.9312 0.0688 0.7500  1 Li 1.94, 2 Sn 2.01
9 O 0.9488 0.3500 0.1168  1 Se 1.92, 1 Li 2.10, 1 Sn 2.14
10 O 0.0512 0.6500 0.8832  1 Se 1.92, 1 Li 2.10, 1 Sn 2.14
11 O 0.6500 0.0512 0.3832  1 Se 1.92, 1 Li 2.10, 1 Sn 2.14
12 O 0.3500 0.9488 0.6168  1 Se 1.92, 1 Li 2.10, 1 Sn 2.14
13 O 0.7763 0.5849 0.4276  1 Se 1.72
14 O 0.2237 0.4151 0.5724  1 Se 1.72
15 O 0.4151 0.2237 0.0724  1 Se 1.72
16 O 0.5849 0.7763 0.9276  1 Se 1.72

Entry 3:
Sc5Hg after structural relaxation, computed with PBE.

As for the energy above the lowest structure with this stoichiometry: 15 meV per atom. As for the total energy: -32.607 eV per cell. The value obtained for the volume is 140 Å³/cell. The calculation puts the density at 5.029 Mg/m³. Its formation energy is -0.11 eV per atom.

a = 3.3838 Å, b = 8.4517 Å, c = 5.0128 Å
α = 90.00°, β = 90.00°, γ = 78.45°
Closest atoms and distances in Å follow each position.
Fractional positions:
1 Hg 0.0008 0.9984 0.0000  10 Sc 3.11-3.30, 2 Hg 3.38
2 Sc 0.2227 0.5545 0.5000  12 Sc 3.14-3.39
3 Sc 0.3387 0.3226 0.0000  10 Sc 3.13-3.38, 2 Hg 3.17
4 Sc 0.5455 0.9090 0.5000  4 Hg 3.11, 8 Sc 3.13-3.39
5 Sc 0.6722 0.6557 0.0000  10 Sc 3.14-3.38, 2 Hg 3.30
6 Sc 0.8868 0.2265 0.5000  10 Sc 3.13-3.38, 2 Hg 3.14

Entry 4:
Ca2EuPb after structural relaxation, computed with PBE.

As for the energy above the lowest structure with this stoichiometry: 176 meV per atom. As for the total energy: -18.707 eV per cell. The value obtained for the volume is 150 Å³/cell. The calculation puts the density at 4.861 Mg/m³. Its formation energy is -0.18 eV per atom.

a = 3.8579 Å, b = 3.8579 Å, c = 11.8530 Å
α = 80.63°, β = 80.63°, γ = 60.00°
Closest atoms and distances in Å follow each position.
Fractional positions:
1 Pb 0.0000 0.0000 0.0000  6 Ca 3.34
2 Eu 0.5000 0.5000 0.5000  6 Eu 3.86, 6 Ca 4.01
3 Ca 0.2621 0.2621 0.2137  3 Pb 3.34
4 Ca 0.7379 0.7379 0.7863  3 Pb 3.34

- Number 3 is which compound?
  Sc5Hg

- Among the records above, which one has the lowest density?
  LiSnSeO5